Compound: KSnOs
Source: OQMD
Functional: PBE
Structure: relaxed

Computed properties:
Excess energy over the best structure of this formula in the dataset (eV/atom): 0.0000

Lattice parameters (Å, degrees): 4.7343 4.7343 4.7343 60.00 60.00 60.00
Last column: nearest neighbours and their distance in Å.
Fractional coordinates of all 3 atoms:
1 K 0.2500 0.2500 0.2500  4 Os 2.90
2 Os 0.0000 0.0000 0.0000  4 Sn 2.90, 4 K 2.90
3 Sn 0.7500 0.7500 0.7500  4 Os 2.90

***

Compound: KSnOs
Source: OQMD
Functional: PBE
Structure: relaxed

Computed properties:
Excess energy over the best structure of this formula in the dataset (eV/atom): 1.0477

Lattice parameters (Å, degrees): 4.9897 4.9897 4.9897 60.00 60.00 60.00
Last column: nearest neighbours and their distance in Å.
Fractional coordinates of all 3 atoms:
1 K 0.0000 0.0000 0.0000  4 Sn 3.06, 4 Os 3.06
2 Os 0.2500 0.2500 0.2500  4 K 3.06
3 Sn 0.7500 0.7500 0.7500  4 K 3.06

***

Compound: KSn5Os3
Source: OQMD
Functional: PBE
Structure: relaxed

Lattice parameters (Å, degrees): 5.5509 5.5509 8.9034 90.00 90.00 120.00
Last column: nearest neighbours and their distance in Å.
Fractional coordinates of all 9 atoms:
1 K 0.0000 0.0000 0.0000  12 Sn 3.86
2 Os 0.5000 0.0000 0.5000  4 Os 2.78, 6 Sn 2.78-2.80
3 Os 0.0000 0.5000 0.5000  4 Os 2.78, 6 Sn 2.78-2.80
4 Os 0.5000 0.5000 0.5000  4 Os 2.78, 6 Sn 2.78-2.80
5 Sn 0.6667 0.3333 0.2423  3 Os 2.80
6 Sn 0.3333 0.6667 0.2423  3 Os 2.80
7 Sn 0.0000 0.0000 0.5000  6 Os 2.78
8 Sn 0.6667 0.3333 0.7577  3 Os 2.80
9 Sn 0.3333 0.6667 0.7577  3 Os 2.80

***

Compound: KTbOs
Source: OQMD
Functional: PBE
Structure: relaxed

Computed properties:
Excess energy over the best structure of this formula in the dataset (eV/atom): 0.0000

Lattice parameters (Å, degrees): 4.8950 4.8950 4.8950 60.00 60.00 60.00
Last column: nearest neighbours and their distance in Å.
Fractional coordinates of all 3 atoms:
1 K 0.2500 0.2500 0.2500  4 Os 3.00
2 Os 0.0000 0.0000 0.0000  4 Tb 3.00, 4 K 3.00
3 Tb 0.7500 0.7500 0.7500  4 Os 3.00

***

| no. | calculated total energy (eV per atom) | spin magnetization (μB/f.u.) |
| --- | --- | --- |
| 1 | -4.337 | 0.11 |
| 2 | -3.290 | 1.54 |
| 3 | -5.886 | 1.82 |
| 4 | -4.617 | 0.00 |